# 1
DFT (PBE) results for a relaxed ScBeBr2 crystal.

Summary:
The energy relative to the elements, uncorrected comes out at -0.600 eV per atom. The density of states at the Fermi level comes out at 3.46 states/eV per cell. For the total magnetization, the calculation gives 0.0 Bohr magnetons per cell. The distance to the lowest polymorph of the same formula comes out at 0.003 eV per formula unit. The calculation puts the mass density at 3574 kg/m³.

a = 3.614 Å, b = 6.121 Å, c = 8.979 Å
α = 90.00°, β = 90.00°, γ = 90.00°
Space group Cmm2 (No. 35)
Symmetry-distinct sites (fractional):
Sc1 0.000 0.000 0.000 x2
Be1 0.000 0.500 0.793 x2
Br1 0.000 0.000 0.647 x2
Br2 0.000 0.500 0.220 x2

=====

# 2
DFT (PBE) results for a relaxed ScBeBr2 crystal.

Summary:
The energy relative to the elements, uncorrected comes out at -0.120 eV per atom. The density of states at the Fermi level comes out at 5.41 states/eV per cell. For the total magnetization, the calculation gives 0.0 Bohr magnetons per cell. The distance to the lowest polymorph of the same formula comes out at 1.922 eV per formula unit. The calculation puts the mass density at 4074 kg/m³.

a = 6.513 Å, b = 8.603 Å, c = 3.592 Å
α = 90.00°, β = 120.01°, γ = 90.00°
Space group C2/m (No. 12)
Symmetry-distinct sites (fractional):
Sc1 0.000 0.000 0.000 x2
Be1 0.000 0.500 0.000 x2
Br1 0.250 0.250 0.000 x4

=====

# 3
DFT (PBE) results for a relaxed ScBeBr2 crystal.

Summary:
The energy relative to the elements, uncorrected comes out at -0.055 eV per atom. The density of states at the Fermi level comes out at 5.60 states/eV per cell. For the total magnetization, the calculation gives 0.0 Bohr magnetons per cell. The distance to the lowest polymorph of the same formula comes out at 2.184 eV per formula unit. The calculation puts the mass density at 4260 kg/m³.

a = 3.819 Å, b = 3.819 Å, c = 11.426 Å
α = 90.00°, β = 90.00°, γ = 90.00°
Space group I-4m2 (No. 119)
Symmetry-distinct sites (fractional):
Sc1 0.000 0.000 0.000 x2
Be1 0.000 0.500 0.750 x2
Br1 0.000 0.000 0.500 x2
Br2 0.000 0.500 0.250 x2